Entry 1:
Here is crystalline Sr2Ac5La at its relaxed geometry from Alexandria. Energies are from PBE.

Energy of formation ... 3.74 kJ per mole of atoms
Space-group type ... I4/mmm, No. 139

abc: 12.125 12.125 12.125
angles: 153.03 153.03 38.51
Sites, in units of the cell vectors:
Sr 0.250 0.250 0.000
Sr 0.750 0.750 0.000
Ac 0.000 0.000 0.000
Ac 0.116 0.616 0.500
Ac 0.384 0.884 0.500
Ac 0.616 0.116 0.500
Ac 0.884 0.384 0.500
La 0.500 0.500 0.000



Entry 2:
Here is crystalline PmHo5Cd4 at its relaxed geometry from Alexandria. Energies are from PBE.

Energy of formation ... -23.34 kJ per mole of atoms
Space-group type ... P4/mmm, No. 123

abc: 3.691 3.691 20.130
angles: 90.00 90.00 90.00
Sites, in units of the cell vectors:
Pm 0.000 0.000 0.000
Ho 0.500 0.500 0.124
Ho 0.500 0.500 0.312
Ho 0.500 0.500 0.500
Ho 0.500 0.500 0.688
Ho 0.500 0.500 0.876
Cd 0.000 0.000 0.217
Cd 0.000 0.000 0.405
Cd 0.000 0.000 0.595
Cd 0.000 0.000 0.783



Entry 3:
Here is crystalline Pm2ZrAl at its relaxed geometry from Alexandria. Energies are from PBE.

Energy of formation ... 3.29 kJ per mole of atoms
Space-group type ... Fm-3m, No. 225
Distance to the lowest polymorph of the same formula ... 146 meV per atom

abc: 5.331 5.331 5.331
angles: 60.00 60.00 60.00
Sites, in units of the cell vectors:
Pm 0.250 0.250 0.250
Pm 0.750 0.750 0.750
Zr 0.000 0.000 0.000
Al 0.500 0.500 0.500



Entry 4:
Here is crystalline HoScTlGa at its relaxed geometry from Alexandria. Energies are from PBE.

Energy of formation ... -41.11 kJ per mole of atoms
Space-group type ... P4mm, No. 99
Distance to the lowest polymorph of the same formula ... 0 meV per atom

abc: 3.492 3.492 7.542
angles: 90.00 90.00 90.00
Sites, in units of the cell vectors:
Ho 0.000 0.000 0.000
Sc 0.000 0.000 0.539
Tl 0.500 0.500 0.285
Ga 0.500 0.500 0.756